--- P ---
Compound: Li2ScNb
Source: Alexandria
Functional: GGA-PBE
Structure: optimized geometry

Summary:
mass density	3.46	g/cm3

Cell: 7.4717 7.4717 5.2247 Å, 90.00 90.00 90.00°
Closest atoms and distances in Å follow each position.
Fractional positions:
Li 0.2504 0.2500 0.1250  2 Li 2.61, 2 Nb 2.72, 2 Sc 2.72
Li 0.2496 0.2500 0.6250  2 Li 2.61, 2 Nb 2.72, 2 Sc 2.72
Li 0.2500 0.7504 0.3750  2 Li 2.61, 2 Nb 2.72, 2 Sc 2.72
Li 0.2500 0.7496 0.8750  2 Li 2.61, 2 Nb 2.72, 2 Sc 2.72
Li 0.7500 0.2496 0.3750  2 Li 2.61, 2 Nb 2.72, 2 Sc 2.72
Li 0.7500 0.2504 0.8750  2 Li 2.61, 2 Nb 2.72, 2 Sc 2.72
Li 0.7496 0.7500 0.1250  2 Li 2.61, 2 Nb 2.72, 2 Sc 2.72
Li 0.7504 0.7500 0.6250  2 Li 2.61, 2 Nb 2.72, 2 Sc 2.72
Sc 0.0000 0.0000 0.0000  2 Nb 2.61, 4 Li 2.72
Sc 0.0000 0.5000 0.2500  2 Nb 2.61, 4 Li 2.72
Sc 0.5000 0.0000 0.7500  2 Nb 2.61, 4 Li 2.72
Sc 0.5000 0.5000 0.5000  2 Nb 2.61, 4 Li 2.72
Nb 0.0000 0.0000 0.5000  2 Sc 2.61, 4 Li 2.72
Nb 0.0000 0.5000 0.7500  2 Sc 2.61, 4 Li 2.72
Nb 0.5000 0.0000 0.2500  2 Sc 2.61, 4 Li 2.72
Nb 0.5000 0.5000 0.0000  2 Sc 2.61, 4 Li 2.72

--- Q ---
Compound: Li2ScNb
Source: Alexandria
Functional: GGA-PBE
Structure: optimized geometry

Summary:
mass density	3.57	g/cm3

Cell: 6.5623 6.5623 6.5623 Å, 90.00 90.00 90.00°
Closest atoms and distances in Å follow each position.
Fractional positions:
Li 0.2500 0.2500 0.2500  4 Nb 2.84, 4 Sc 2.84
Li 0.2500 0.2500 0.7500  4 Nb 2.84, 4 Sc 2.84
Li 0.2500 0.7500 0.2500  4 Nb 2.84, 4 Sc 2.84
Li 0.2500 0.7500 0.7500  4 Nb 2.84, 4 Sc 2.84
Li 0.7500 0.2500 0.2500  4 Nb 2.84, 4 Sc 2.84
Li 0.7500 0.2500 0.7500  4 Nb 2.84, 4 Sc 2.84
Li 0.7500 0.7500 0.2500  4 Nb 2.84, 4 Sc 2.84
Li 0.7500 0.7500 0.7500  4 Nb 2.84, 4 Sc 2.84
Sc 0.0000 0.0000 0.0000  8 Li 2.84
Sc 0.0000 0.5000 0.5000  8 Li 2.84
Sc 0.5000 0.0000 0.5000  8 Li 2.84
Sc 0.5000 0.5000 0.0000  8 Li 2.84
Nb 0.0000 0.0000 0.5000  8 Li 2.84
Nb 0.0000 0.5000 0.0000  8 Li 2.84
Nb 0.5000 0.0000 0.0000  8 Li 2.84
Nb 0.5000 0.5000 0.5000  8 Li 2.84

The structure with the least stability is P.

--- P ---
Compound: LiScNb3
Source: Alexandria
Functional: GGA-PBE
Structure: optimized geometry

Summary:
mass density	5.84	g/cm3

Cell: 4.5460 4.5460 4.5460 Å, 90.00 90.00 90.00°
Closest atoms and distances in Å follow each position.
Fractional positions:
Li 0.0000 0.0000 0.0000  6 Nb 2.27
Sc 0.5000 0.5000 0.5000  12 Nb 3.21
Nb 0.0000 0.0000 0.5000  2 Li 2.27
Nb 0.0000 0.5000 0.0000  2 Li 2.27
Nb 0.5000 0.0000 0.0000  2 Li 2.27

--- Q ---
Compound: LiScNb3
Source: Alexandria
Functional: GGA-PBE
Structure: optimized geometry

Summary:
mass density	4.88	g/cm3

Cell: 4.8271 4.8271 4.8271 Å, 90.00 90.00 90.00°
Closest atoms and distances in Å follow each position.
Fractional positions:
Li 0.0000 0.0000 0.0000  12 Nb 3.41
Sc 0.5000 0.5000 0.5000  6 Nb 2.41
Nb 0.0000 0.5000 0.5000  2 Sc 2.41
Nb 0.5000 0.0000 0.5000  2 Sc 2.41
Nb 0.5000 0.5000 0.0000  2 Sc 2.41

The structure with the least stability is Q.

--- P ---
Compound: Li3NbSe
Source: Alexandria
Functional: GGA-PBE
Structure: optimized geometry

Summary:
mass density	2.93	g/cm3

Cell: 4.7823 4.7823 4.7823 Å, 90.00 90.00 90.00°
Closest atoms and distances in Å follow each position.
Fractional positions:
Li 0.0000 0.0000 0.5000  2 Se 2.39
Li 0.0000 0.5000 0.0000  2 Se 2.39
Li 0.5000 0.0000 0.0000  2 Se 2.39
Nb 0.5000 0.5000 0.5000  12 Li 3.38
Se 0.0000 0.0000 0.0000  6 Li 2.39

--- Q ---
Compound: Li3NbSe
Source: Alexandria
Functional: GGA-PBE
Structure: optimized geometry

Summary:
mass density	2.48	g/cm3

Cell: 5.0556 5.0556 5.0556 Å, 90.00 90.00 90.00°
Closest atoms and distances in Å follow each position.
Fractional positions:
Li 0.0000 0.0000 0.5000  2 Nb 2.53
Li 0.0000 0.5000 0.0000  2 Nb 2.53
Li 0.5000 0.0000 0.0000  2 Nb 2.53
Nb 0.0000 0.0000 0.0000  6 Li 2.53
Se 0.5000 0.5000 0.5000  12 Li 3.57

The structure with the least stability is Q.

--- P ---
Compound: LiNbSe3
Source: Alexandria
Functional: GGA-PBE
Structure: optimized geometry

Summary:
mass density	2.44	g/cm3

Cell: 8.4934 8.4934 7.9131 Å, 90.00 90.00 126.73°
Closest atoms and distances in Å follow each position.
Fractional positions:
Li 0.2068 0.7932 0.7500  2 Se 2.47
Li 0.7932 0.2068 0.2500  2 Se 2.47
Nb 0.4042 0.5958 0.7500  4 Se 2.37-2.46
Nb 0.5958 0.4042 0.2500  4 Se 2.37-2.46
Se 0.0614 0.4396 0.7500  1 Nb 2.37, 1 Li 2.47
Se 0.4396 0.0614 0.2500  1 Nb 2.37, 1 Li 2.47
Se 0.5000 0.5000 0.0000  2 Nb 2.46
Se 0.5000 0.5000 0.5000  2 Nb 2.46
Se 0.5604 0.9386 0.7500  1 Nb 2.37, 1 Li 2.47
Se 0.9386 0.5604 0.2500  1 Nb 2.37, 1 Li 2.47

--- Q ---
Compound: LiNbSe3
Source: Alexandria
Functional: GGA-PBE
Structure: optimized geometry

Summary:
mass density	3.99	g/cm3

Cell: 7.1581 6.8309 13.1310 Å, 90.00 119.25 90.00°
Closest atoms and distances in Å follow each position.
Fractional positions:
Li 0.0253 0.0236 0.1443  4 Se 2.57-2.64
Li 0.0253 0.4764 0.6443  4 Se 2.57-2.64
Li 0.9747 0.5236 0.3557  4 Se 2.57-2.64
Li 0.9747 0.9764 0.8557  4 Se 2.57-2.64
Nb 0.4047 0.2474 0.9964  5 Se 2.37-2.62
Nb 0.4047 0.2526 0.4964  5 Se 2.37-2.62
Nb 0.5953 0.7474 0.5036  5 Se 2.37-2.62
Nb 0.5953 0.7526 0.0036  5 Se 2.37-2.62
Se 0.0787 0.2391 0.5022  1 Nb 2.37, 2 Li 2.57-2.64
Se 0.0787 0.2609 0.0022  1 Nb 2.37, 2 Li 2.57-2.64
Se 0.3255 0.5189 0.3428  2 Nb 2.57-2.58, 1 Li 2.60
Se 0.3255 0.9811 0.8428  2 Nb 2.57-2.58, 1 Li 2.60
Se 0.3743 0.0095 0.3445  2 Nb 2.52-2.62, 1 Li 2.60
Se 0.3743 0.4905 0.8445  2 Nb 2.52-2.62, 1 Li 2.60
Se 0.6257 0.5095 0.1555  2 Nb 2.52-2.62, 1 Li 2.60
Se 0.6257 0.9905 0.6555  2 Nb 2.52-2.62, 1 Li 2.60
Se 0.6745 0.0189 0.1572  2 Nb 2.57-2.58, 1 Li 2.60
Se 0.6745 0.4811 0.6572  2 Nb 2.57-2.58, 1 Li 2.60
Se 0.9213 0.7391 0.9978  1 Nb 2.37, 2 Li 2.57-2.64
Se 0.9213 0.7609 0.4978  1 Nb 2.37, 2 Li 2.57-2.64

--- R ---
Compound: LiNbSe3
Source: Alexandria
Functional: GGA-PBE
Structure: optimized geometry

Summary:
mass density	3.29	g/cm3

Cell: 3.3775 7.6188 13.1912 Å, 90.00 90.00 90.00°
Closest atoms and distances in Å follow each position.
Fractional positions:
Li 0.0000 0.0000 0.0000  4 Se 2.57-2.58
Li 0.0000 0.5000 0.5000  4 Se 2.57-2.58
Nb 0.5000 0.0000 0.3278  5 Se 2.38-2.56
Nb 0.5000 0.5000 0.8278  5 Se 2.38-2.56
Se 0.0000 0.2376 0.3775  2 Nb 2.56, 1 Li 2.57
Se 0.0000 0.2624 0.8775  2 Nb 2.56, 1 Li 2.57
Se 0.0000 0.7376 0.8775  2 Nb 2.56, 1 Li 2.57
Se 0.0000 0.7624 0.3775  2 Nb 2.56, 1 Li 2.57
Se 0.5000 0.0000 0.1474  1 Nb 2.38, 2 Li 2.58
Se 0.5000 0.5000 0.6474  1 Nb 2.38, 2 Li 2.58

--- S ---
Compound: LiNbSe3
Source: Alexandria
Functional: GGA-PBE
Structure: optimized geometry

Summary:
mass density	4.17	g/cm3

Cell: 3.2315 11.9073 7.1518 Å, 90.00 103.05 90.00°
Closest atoms and distances in Å follow each position.
Fractional positions:
Li 0.0142 0.2500 0.4870  4 Se 2.57-2.60
Li 0.9858 0.7500 0.5130  4 Se 2.57-2.60
Nb 0.2494 0.7500 0.0940  6 Se 2.53-2.68
Nb 0.7506 0.2500 0.9060  6 Se 2.53-2.68
Se 0.1422 0.1019 0.7559  2 Nb 2.55-2.68, 1 Li 2.57
Se 0.1422 0.3981 0.7559  2 Nb 2.55-2.68, 1 Li 2.57
Se 0.3699 0.2500 0.1946  2 Nb 2.53-2.63, 2 Li 2.60
Se 0.6301 0.7500 0.8054  2 Nb 2.53-2.63, 2 Li 2.60
Se 0.8578 0.6019 0.2441  2 Nb 2.55-2.68, 1 Li 2.57
Se 0.8578 0.8981 0.2441  2 Nb 2.55-2.68, 1 Li 2.57

The structure with the least stability is P.

--- P ---
Compound: LiNb2Se2
Source: Alexandria
Functional: GGA-PBE
Structure: optimized geometry

Summary:
mass density	5.36	g/cm3

Cell: 3.9235 3.9235 14.1078 Å, 90.00 90.00 90.00°
Closest atoms and distances in Å follow each position.
Fractional positions:
Li 0.0000 0.0000 0.0000  8 Se 3.25
Li 0.5000 0.5000 0.5000  8 Se 3.25
Nb 0.0000 0.5000 0.2500  4 Se 2.69, 4 Nb 2.77
Nb 0.0000 0.5000 0.7500  4 Se 2.69, 4 Nb 2.77
Nb 0.5000 0.0000 0.2500  4 Se 2.69, 4 Nb 2.77
Nb 0.5000 0.0000 0.7500  4 Se 2.69, 4 Nb 2.77
Se 0.0000 0.0000 0.3805  4 Nb 2.69
Se 0.0000 0.0000 0.6195  4 Nb 2.69
Se 0.5000 0.5000 0.1195  4 Nb 2.69
Se 0.5000 0.5000 0.8805  4 Nb 2.69

--- Q ---
Compound: LiNb2Se2
Source: Alexandria
Functional: GGA-PBE
Structure: optimized geometry

Summary:
mass density	6.68	g/cm3

Cell: 7.2548 7.2548 3.3122 Å, 90.00 90.00 90.00°
Closest atoms and distances in Å follow each position.
Fractional positions:
Li 0.0000 0.0000 0.0000  4 Se 2.76
Li 0.5000 0.5000 0.0000  4 Se 2.76
Nb 0.1492 0.3508 0.5000  6 Se 2.64-2.73
Nb 0.3508 0.8508 0.5000  6 Se 2.64-2.73
Nb 0.6492 0.1492 0.5000  6 Se 2.64-2.73
Nb 0.8508 0.6492 0.5000  6 Se 2.64-2.73
Se 0.1504 0.6504 0.0000  6 Nb 2.64-2.73, 2 Li 2.76
Se 0.3496 0.1504 0.0000  6 Nb 2.64-2.73, 2 Li 2.76
Se 0.6504 0.8496 0.0000  6 Nb 2.64-2.73, 2 Li 2.76
Se 0.8496 0.3496 0.0000  6 Nb 2.64-2.73, 2 Li 2.76

The structure with the least stability is Q.

--- P ---
Compound: LiNbSi3
Source: Alexandria
Functional: GGA-PBE
Structure: optimized geometry

Summary:
mass density	2.62	g/cm3

Cell: 4.8836 4.8836 4.8836 Å, 90.00 90.00 90.00°
Closest atoms and distances in Å follow each position.
Fractional positions:
Li 0.0000 0.0000 0.0000  12 Si 3.45
Nb 0.5000 0.5000 0.5000  6 Si 2.44
Si 0.0000 0.5000 0.5000  2 Nb 2.44
Si 0.5000 0.0000 0.5000  2 Nb 2.44
Si 0.5000 0.5000 0.0000  2 Nb 2.44

--- Q ---
Compound: LiNbSi3
Source: Alexandria
Functional: GGA-PBE
Structure: optimized geometry

Summary:
mass density	3.96	g/cm3

Cell: 4.2580 4.2580 4.2580 Å, 90.00 90.00 90.00°
Closest atoms and distances in Å follow each position.
Fractional positions:
Li 0.0000 0.0000 0.0000  6 Si 2.13
Nb 0.5000 0.5000 0.5000  12 Si 3.01
Si 0.0000 0.0000 0.5000  2 Li 2.13
Si 0.0000 0.5000 0.0000  2 Li 2.13
Si 0.5000 0.0000 0.0000  2 Li 2.13

The structure with the least stability is Q.